[1]
Material: BeNiIr2Pd
Method: DFT, PBE-GGA
State: optimized geometry

Summary:
Its formation energy is 39.5 kJ/mol of atoms. Its symmetry is P4/mmm. For the magnetic moment, the calculation gives 0.1596 μB/atom.

Unit cell a=4.1307 b=4.1307 c=3.9451 alpha=90.00 beta=90.00 gamma=90.00
Fractional coordinates of all 5 atoms:
1 Be 0.0000 0.0000 0.0000
2 Ni 0.0000 0.0000 0.5000
3 Ir 0.0000 0.5000 0.0000
4 Ir 0.5000 0.0000 0.0000
5 Pd 0.5000 0.5000 0.5000

[2]
Material: Tb8Tm6Sc
Method: DFT, PBE-GGA
State: optimized geometry

Summary:
Its formation energy is 19.1 kJ/mol of atoms. Its symmetry is R-3. For the magnetic moment, the calculation gives 0.0000 μB/atom.

Unit cell a=8.0497 b=8.0497 c=8.0497 alpha=73.48 beta=73.48 gamma=73.48
Fractional coordinates of all 15 atoms:
1 Tb 0.0902 0.0902 0.0902
2 Tb 0.1481 0.2699 0.5664
3 Tb 0.2699 0.5664 0.1481
4 Tb 0.4336 0.8519 0.7301
5 Tb 0.5664 0.1481 0.2699
6 Tb 0.7301 0.4336 0.8519
7 Tb 0.8519 0.7301 0.4336
8 Tb 0.9098 0.9098 0.9098
9 Tm 0.1180 0.5617 0.7864
10 Tm 0.2136 0.8820 0.4383
11 Tm 0.4383 0.2136 0.8820
12 Tm 0.5617 0.7864 0.1180
13 Tm 0.7864 0.1180 0.5617
14 Tm 0.8820 0.4383 0.2136
15 Sc 0.5000 0.5000 0.5000

[3]
Material: Ce3Dy2TmSe6
Method: DFT, PBE-GGA
State: optimized geometry

Summary:
Its symmetry is C2/m. For the magnetic moment, the calculation gives 0.2501 μB/atom. Its raw formation energy is -21.42 eV/f.u.

Unit cell a=7.0948 b=7.0948 c=7.2553 alpha=99.38 beta=99.38 gamma=120.05
Fractional coordinates of all 12 atoms:
1 Ce 0.0000 0.0000 0.0000
2 Ce 0.3316 0.6684 0.0000
3 Ce 0.6684 0.3316 0.0000
4 Dy 0.1664 0.8336 0.5000
5 Dy 0.8336 0.1664 0.5000
6 Tm 0.5000 0.5000 0.5000
7 Se 0.0916 0.4217 0.2645
8 Se 0.2492 0.2492 0.7372
9 Se 0.4217 0.0916 0.2645
10 Se 0.5783 0.9084 0.7355
11 Se 0.7508 0.7508 0.2628
12 Se 0.9084 0.5783 0.7355

[4]
Material: Pr2DyI
Method: DFT, PBE-GGA
State: optimized geometry

Summary:
Its symmetry is R3m. For the magnetic moment, the calculation gives 0.0583 μB/atom. Its raw formation energy is -1.62 eV/f.u.

Unit cell a=11.0901 b=11.0901 c=11.0901 alpha=19.85 beta=19.85 gamma=19.85
Fractional coordinates of all 4 atoms:
1 Pr 0.0000 0.0000 0.0000
2 Pr 0.1553 0.1553 0.1553
3 Dy 0.5778 0.5778 0.5778
4 I 0.4108 0.4108 0.4108

[5]
Material: TaNbNiW
Method: DFT, PBE-GGA
State: optimized geometry

Summary:
Its formation energy is -2.3 kJ/mol of atoms. Its symmetry is F-43m. For the magnetic moment, the calculation gives 0.0000 μB/atom.

Unit cell a=4.4947 b=4.4947 c=4.4947 alpha=60.00 beta=60.00 gamma=60.00
Fractional coordinates of all 4 atoms:
1 Ta 0.0000 0.0000 0.0000
2 Nb 0.5000 0.5000 0.5000
3 Ni 0.7500 0.7500 0.7500
4 W 0.2500 0.2500 0.2500

[6]
Material: SrLiCa5
Method: DFT, PBE-GGA
State: optimized geometry

Summary:
Its formation energy is 18.1 kJ/mol of atoms. Its symmetry is C2/c. For the magnetic moment, the calculation gives 0.0000 μB/atom.

Unit cell a=7.7123 b=7.7123 c=12.4184 alpha=110.81 beta=110.81 gamma=74.65
Fractional coordinates of all 14 atoms:
1 Sr 0.0643 0.9357 0.7500
2 Sr 0.9357 0.0643 0.2500
3 Li 0.0000 0.5000 0.0000
4 Li 0.5000 0.0000 0.5000
5 Ca 0.1539 0.4027 0.7469
6 Ca 0.2563 0.5149 0.5051
7 Ca 0.3483 0.6517 0.2500
8 Ca 0.4027 0.1539 0.2469
9 Ca 0.4851 0.7437 0.9949
10 Ca 0.5149 0.2563 0.0051
11 Ca 0.5973 0.8461 0.7531
12 Ca 0.6517 0.3483 0.7500
13 Ca 0.7437 0.4851 0.4949
14 Ca 0.8461 0.5973 0.2531

[7]
Material: Na6AlF12
Method: DFT, PBE-GGA
State: optimized geometry

Summary:
Its symmetry is R-3. For the magnetic moment, the calculation gives 0.1671 μB/atom. Its raw formation energy is -47.37 eV/f.u.

Unit cell a=6.4349 b=6.4349 c=6.4349 alpha=98.65 beta=98.65 gamma=98.65
Fractional coordinates of all 19 atoms:
1 Na 0.1458 0.2495 0.6107
2 Na 0.2495 0.6107 0.1458
3 Na 0.3893 0.8542 0.7505
4 Na 0.6107 0.1458 0.2495
5 Na 0.7505 0.3893 0.8542
6 Na 0.8542 0.7505 0.3893
7 Al 0.0000 0.0000 0.0000
8 F 0.0240 0.9333 0.7174
9 F 0.0667 0.2826 0.9760
10 F 0.1465 0.5663 0.4785
11 F 0.2826 0.9760 0.0667
12 F 0.4337 0.5215 0.8535
13 F 0.4785 0.1465 0.5663
14 F 0.5215 0.8535 0.4337
15 F 0.5663 0.4785 0.1465
16 F 0.7174 0.0240 0.9333
17 F 0.8535 0.4337 0.5215
18 F 0.9333 0.7174 0.0240
19 F 0.9760 0.0667 0.2826

[8]
Material: KLiTlBrF
Method: DFT, PBE-GGA
State: optimized geometry

Summary:
Its symmetry is Cm. For the magnetic moment, the calculation gives 0.0000 μB/atom. Its raw formation energy is -7.53 eV/f.u.

Unit cell a=8.0634 b=8.0634 c=4.9750 alpha=99.47 beta=99.47 gamma=26.75
Fractional coordinates of all 5 atoms:
1 K 0.0000 0.0000 0.0000
2 Li 0.3216 0.3216 0.1032
3 Tl 0.6873 0.6873 0.6011
4 Br 0.4635 0.4635 0.4830
5 F 0.8270 0.8270 0.0036

[9]
Material: SrLi2ZnCu
Method: DFT, PBE-GGA
State: optimized geometry

Summary:
Its formation energy is -1.0 kJ/mol of atoms. Its symmetry is P4/mmm. For the magnetic moment, the calculation gives 0.0000 μB/atom.

Unit cell a=4.8930 b=4.8930 c=4.7735 alpha=90.00 beta=90.00 gamma=90.00
Fractional coordinates of all 5 atoms:
1 Sr 0.0000 0.0000 0.0000
2 Li 0.0000 0.5000 0.5000
3 Li 0.5000 0.0000 0.5000
4 Zn 0.5000 0.5000 0.0000
5 Cu 0.5000 0.5000 0.5000

[10]
Material: La4HoHg2
Method: DFT, PBE-GGA
State: optimized geometry

Summary:
Its formation energy is -6.2 kJ/mol of atoms. Its symmetry is R-3m. For the magnetic moment, the calculation gives 0.0000 μB/atom.

Unit cell a=9.4946 b=9.4946 c=9.4946 alpha=34.68 beta=34.68 gamma=34.68
Fractional coordinates of all 7 atoms:
1 La 0.1295 0.1295 0.1295
2 La 0.2705 0.2705 0.2705
3 La 0.7295 0.7295 0.7295
4 La 0.8705 0.8705 0.8705
5 Ho 0.5000 0.5000 0.5000
6 Hg 0.3894 0.3894 0.3894
7 Hg 0.6106 0.6106 0.6106

[11]
Material: Th4In5Pb
Method: DFT, PBE-GGA
State: optimized geometry

Summary:
Its formation energy is -20.1 kJ/mol of atoms. Its symmetry is Immm. For the magnetic moment, the calculation gives 0.0000 μB/atom.

Unit cell a=8.2649 b=8.2649 c=8.2649 alpha=146.80 beta=95.62 gamma=93.74
Fractional coordinates of all 10 atoms:
1 Th 0.2178 0.2178 0.0000
2 Th 0.3016 0.0000 0.3016
3 Th 0.6984 0.0000 0.6984
4 Th 0.7822 0.7822 0.0000
5 In 0.0000 0.5000 0.5000
6 In 0.0149 0.3113 0.7036
7 In 0.3923 0.6887 0.7036
8 In 0.6077 0.3113 0.2964
9 In 0.9851 0.6887 0.2964
10 Pb 0.5000 0.5000 0.0000

[12]
Material: AlGe3Au
Method: DFT, PBE-GGA
State: optimized geometry

Summary:
Its formation energy is 60.6 kJ/mol of atoms. Its symmetry is Pm-3m. For the magnetic moment, the calculation gives 0.0000 μB/atom.

Unit cell a=4.8442 b=4.8442 c=4.8442 alpha=90.00 beta=90.00 gamma=90.00
Fractional coordinates of all 5 atoms:
1 Al 0.0000 0.0000 0.0000
2 Ge 0.0000 0.0000 0.5000
3 Ge 0.0000 0.5000 0.0000
4 Ge 0.5000 0.0000 0.0000
5 Au 0.5000 0.5000 0.5000